TiCrFeF2 | PBE+U | optimized geometry

Properties
- M_tot: 6.489 μB per formula unit
- Theoretical density: 3.26 g/cm3
- VASP energy: -5.470 eV per atom

Cell and atoms, written as extended XYZ:
```
5
Lattice="3.919 0.000 0.000 0.000 6.424 0.000 0.000 0.000 3.919" Properties=species:S:1:pos:R:3 pbc="T T T"
Ti 1.960 3.212 1.960
F 0.000 0.000 1.960
F 1.960 0.000 0.000
Fe 0.000 0.000 0.000
Cr 0.000 3.212 0.000
```